[1]
Ce3BiIr | PBE | optimized geometry

Cell lengths 5.4516, 5.4516, 5.4516 Å; angles 90.00, 90.00, 90.00 degrees
Last column: nearest neighbours and their distance in Å.
Fractional positions:
Ce (0.0000, 0.0000, 0.5000)  2 Ir 2.73
Ce (0.5000, 0.0000, 0.0000)  2 Ir 2.73
Ir (0.0000, 0.0000, 0.0000)  6 Ce 2.73
Ce (0.0000, 0.5000, 0.0000)  2 Ir 2.73
Bi (0.5000, 0.5000, 0.5000)  12 Ce 3.85

Output
magnetization = 3.1 μB/cell
symmetry = Pm-3m, No. 221
DOS at the Fermi energy = 18.19 states/eV/cell
formation energy = -464 meV/atom



[2]
Ce4Bi2Ir | PBE | optimized geometry

Cell lengths 6.8117, 6.5462, 10.0623 Å; angles 90.00, 111.80, 90.00 degrees
Last column: nearest neighbours and their distance in Å.
Fractional positions:
Bi (0.2660, 0.2500, 0.4538)  8 Ce 3.32-3.41
Bi (0.2844, 0.2500, 0.9314)  1 Ir 2.87
Ce (0.5071, 0.9679, 0.7514)  1 Ir 2.76, 1 Ce 2.85
Ce (0.4929, 0.0321, 0.2486)  1 Ir 2.76, 1 Ce 2.85
Ce (0.0750, 0.7500, 0.8872)  1 Ir 2.66
Bi (0.7156, 0.7500, 0.0686)  1 Ir 2.87
Ir (0.8309, 0.2500, 0.8313)  4 Ce 2.63-2.76, 1 Bi 2.87
Ce (0.1131, 0.7500, 0.4139)  1 Ir 2.63
Ce (0.9250, 0.2500, 0.1128)  1 Ir 2.66
Ce (0.8869, 0.2500, 0.5861)  1 Ir 2.63
Ce (0.5071, 0.5321, 0.7514)  1 Ir 2.76, 1 Ce 2.85
Ce (0.4929, 0.4679, 0.2486)  1 Ir 2.76, 1 Ce 2.85
Bi (0.7340, 0.7500, 0.5462)  8 Ce 3.32-3.41
Ir (0.1691, 0.7500, 0.1687)  4 Ce 2.63-2.76, 1 Bi 2.87

Output
magnetization = 8.0 μB/cell
symmetry = P2_1/m, No. 11
DOS at the Fermi energy = 41.37 states/eV/cell
formation energy = -586 meV/atom



[3]
Ce7Bi2Ir2 | PBE | optimized geometry

Cell lengths 6.7074, 7.1607, 7.1607 Å; angles 72.87, 89.98, 89.98 degrees
Last column: nearest neighbours and their distance in Å.
Fractional positions:
Ce (0.7959, 0.4999, 0.4999)  1 Ce 2.74, 2 Ir 3.05-3.06
Ce (0.2041, 0.5001, 0.5001)  1 Ce 2.74, 2 Ir 3.05-3.06
Bi (0.5000, 0.8082, 0.1918)  1 Bi 3.26, 6 Ce 3.29-3.30
Ir (0.0002, 0.7371, 0.7371)  7 Ce 2.80-3.06
Ce (0.2707, 0.5000, 0.0002)  2 Ir 2.80, 1 Ce 3.08
Ce (0.7293, 0.5000, 0.9998)  2 Ir 2.80, 1 Ce 3.08
Ir (0.9998, 0.2629, 0.2629)  7 Ce 2.80-3.06
Ce (0.7293, 0.9998, 0.5000)  2 Ir 2.80, 1 Ce 3.08
Ce (0.0000, 0.0000, 0.0000)  2 Ir 3.03
Ce (0.2707, 0.0002, 0.5000)  2 Ir 2.80, 1 Ce 3.08
Bi (0.5000, 0.1918, 0.8082)  1 Bi 3.26, 6 Ce 3.29-3.30

Output
magnetization = 6.3 μB/cell
symmetry = Cmmm, No. 65
DOS at the Fermi energy = 35.52 states/eV/cell
formation energy = -418 meV/atom